No. 1
SmCuGe2 | PBE | relaxed

**Density**: 6844 kg/m³
**Total DFT energy (no corrections)**: -4.805 eV/atom

Lattice parameters (Å, degrees): 3.9754 5.8680 7.4712 90.00 90.00 90.00
Last column: nearest neighbours and their distance in Å.
Space group Amm2 (No. 38)
Symmetry-distinct sites (fractional):
Sm: 0.0000 0.0000 0.0000 x2  8 Ge 3.08-3.16
Cu: 0.5000 0.0000 0.5670 x2  4 Ge 2.36-2.44
Ge: 0.5000 0.2081 0.2846 x4  2 Cu 2.36-2.44, 1 Ge 2.44

---

No. 2
Sm2Cu3Ge | PBE | relaxed

**Density**: 7831 kg/m³
**Total DFT energy (no corrections)**: -4.792 eV/atom

Lattice parameters (Å, degrees): 3.7598 4.2266 7.5262 90.00 90.00 90.00
Last column: nearest neighbours and their distance in Å.
Space group Pmm2 (No. 25)
Symmetry-distinct sites (fractional):
Sm: 0.0000 0.0000 0.0000 x1  8 Cu 3.08-3.16, 4 Ge 3.10
Sm: 0.0000 0.5000 0.4982 x1  10 Cu 3.08-3.14, 2 Ge 3.14
Cu: 0.5000 0.0000 0.3367 x1  3 Cu 2.48-2.49
Cu: 0.5000 0.0000 0.6669 x1  2 Ge 2.45, 1 Cu 2.49
Cu: 0.5000 0.5000 0.1636 x1  2 Cu 2.48, 1 Ge 2.50
Ge: 0.5000 0.5000 0.8319 x1  3 Cu 2.45-2.50

---

| no. | density of states at the Fermi level (states/eV per cell) |
| --- | --- |
| 1 | 2.994 |
| 2 | 4.366 |